ZrPaCrSe6 | PBE | optimized geometry

Values from the calculation:
Its crystal system is trigonal. The value obtained for the uncorrected formation energy is -8.58 eV per formula unit. As for the uncorrected energy: -57.15 eV/cell. The magnetization comes out at 2.99 Bohr magnetons per cell.

abc: 6.570 6.570 6.247
angles: 90.00 90.00 120.00
Sites, in units of the cell vectors:
Zr 0.000 0.000 0.000
Pa 0.667 0.333 0.500
Cr 0.333 0.667 0.000
Se 0.019 0.349 0.239
Se 0.019 0.670 0.761
Se 0.330 0.349 0.761
Se 0.330 0.981 0.239
Se 0.651 0.670 0.239
Se 0.651 0.981 0.761